Entry 1:
The following is a DFT calculation (GGA-PBE) of an optimized crystal structure of Al2SnAu6.

a = 4.972 Å, b = 4.972 Å, c = 8.497 Å
α = 96.73°, β = 96.73°, γ = 55.09°
Sites, in units of the cell vectors:
Al 0.229 0.229 0.371
Al 0.771 0.771 0.629
Sn 0.000 0.000 0.000
Au 0.103 0.103 0.673
Au 0.331 0.331 0.091
Au 0.415 0.415 0.645
Au 0.585 0.585 0.355
Au 0.669 0.669 0.909
Au 0.897 0.897 0.327

Values from the calculation:
total magnetic moment: 0.00 μB/f.u.
energy of formation from the pure elements: -0.2103 eV/atom
mass density: 13.171 g/cm3
crystal system: monoclinic

=====

Entry 2:
The following is a DFT calculation (GGA-PBE) of an optimized crystal structure of AlSnAu4.

a = 9.244 Å, b = 9.244 Å, c = 5.170 Å
α = 103.92°, β = 103.92°, γ = 32.17°
Sites, in units of the cell vectors:
Al 0.000 0.500 0.000
Al 0.500 0.000 0.500
Sn 0.249 0.751 0.750
Sn 0.751 0.249 0.250
Au 0.074 0.580 0.624
Au 0.162 0.657 0.186
Au 0.343 0.838 0.314
Au 0.420 0.926 0.876
Au 0.580 0.074 0.124
Au 0.657 0.162 0.686
Au 0.838 0.343 0.814
Au 0.926 0.420 0.376

Values from the calculation:
total magnetic moment: 0.00 μB/f.u.
energy of formation from the pure elements: -0.1831 eV/atom
mass density: 13.615 g/cm3
crystal system: monoclinic

=====

Entry 3:
The following is a DFT calculation (GGA-PBE) of an optimized crystal structure of AlSnAu.

a = 4.543 Å, b = 4.543 Å, c = 6.456 Å
α = 90.00°, β = 90.00°, γ = 90.00°
Sites, in units of the cell vectors:
Al 0.250 0.750 0.000
Al 0.750 0.250 0.000
Sn 0.250 0.750 0.500
Sn 0.750 0.250 0.500
Au 0.250 0.250 0.203
Au 0.750 0.750 0.797

Values from the calculation:
total magnetic moment: 0.00 μB/f.u.
energy of formation from the pure elements: -0.2442 eV/atom
mass density: 8.542 g/cm3
crystal system: tetragonal

=====

Entry 4:
The following is a DFT calculation (GGA-PBE) of an optimized crystal structure of AlSnAu3.

a = 4.885 Å, b = 4.885 Å, c = 4.885 Å
α = 90.00°, β = 90.00°, γ = 90.00°
Sites, in units of the cell vectors:
Al 0.000 0.000 0.000
Sn 0.500 0.500 0.500
Au 0.000 0.000 0.500
Au 0.000 0.500 0.000
Au 0.500 0.000 0.000

Values from the calculation:
total magnetic moment: 0.00 μB/f.u.
energy of formation from the pure elements: 0.1167 eV/atom
mass density: 10.496 g/cm3
crystal system: cubic

=====

Entry 5:
The following is a DFT calculation (GGA-PBE) of an optimized crystal structure of Al3SnAu.

a = 4.911 Å, b = 4.911 Å, c = 4.911 Å
α = 90.00°, β = 90.00°, γ = 90.00°
Sites, in units of the cell vectors:
Al 0.000 0.000 0.500
Al 0.000 0.500 0.000
Al 0.500 0.000 0.000
Sn 0.500 0.500 0.500
Au 0.000 0.000 0.000

Values from the calculation:
total magnetic moment: 0.00 μB/f.u.
energy of formation from the pure elements: 0.2267 eV/atom
mass density: 5.560 g/cm3
crystal system: cubic

=====

Entry 6:
The following is a DFT calculation (GGA-PBE) of an optimized crystal structure of Al2SnAu.

a = 9.032 Å, b = 9.032 Å, c = 9.032 Å
α = 150.60°, β = 150.60°, γ = 42.07°
Sites, in units of the cell vectors:
Al 0.062 0.625 0.937
Al 0.375 0.312 0.437
Al 0.688 0.125 0.063
Al 0.875 0.938 0.563
Sn 0.250 0.750 0.500
Sn 0.500 0.500 0.000
Au 0.000 0.000 0.000
Au 0.750 0.250 0.500

Values from the calculation:
total magnetic moment: 0.00 μB/f.u.
energy of formation from the pure elements: -0.0482 eV/atom
mass density: 6.928 g/cm3
crystal system: tetragonal

=====

Entry 7:
The following is a DFT calculation (GGA-PBE) of an optimized crystal structure of AlSnAu.

a = 4.790 Å, b = 3.277 Å, c = 8.190 Å
α = 90.00°, β = 104.19°, γ = 90.00°
Sites, in units of the cell vectors:
Al 0.228 0.250 0.476
Al 0.772 0.750 0.524
Sn 0.198 0.750 0.875
Sn 0.802 0.250 0.125
Au 0.366 0.750 0.249
Au 0.634 0.250 0.751

Values from the calculation:
total magnetic moment: 0.00 μB/f.u.
energy of formation from the pure elements: -0.1602 eV/atom
mass density: 9.129 g/cm3
crystal system: monoclinic

=====

Entry 8:
The following is a DFT calculation (GGA-PBE) of an optimized crystal structure of AlSnAu.

a = 4.376 Å, b = 4.376 Å, c = 6.992 Å
α = 101.34°, β = 101.34°, γ = 77.86°
Sites, in units of the cell vectors:
Al 0.246 0.754 0.000
Al 0.754 0.246 0.000
Sn 0.239 0.239 0.617
Sn 0.761 0.761 0.383
Au 0.313 0.313 0.219
Au 0.687 0.687 0.781

Values from the calculation:
total magnetic moment: 0.00 μB/f.u.
energy of formation from the pure elements: -0.2112 eV/atom
mass density: 8.986 g/cm3
crystal system: monoclinic

=====

Entry 9:
The following is a DFT calculation (GGA-PBE) of an optimized crystal structure of Al2Sn2Au.

a = 7.726 Å, b = 7.726 Å, c = 3.879 Å
α = 90.00°, β = 90.00°, γ = 90.00°
Sites, in units of the cell vectors:
Al 0.125 0.375 0.000
Al 0.375 0.875 0.000
Al 0.625 0.125 0.000
Al 0.875 0.625 0.000
Sn 0.174 0.674 0.500
Sn 0.326 0.174 0.500
Sn 0.674 0.826 0.500
Sn 0.826 0.326 0.500
Au 0.000 0.000 0.500
Au 0.500 0.500 0.500

Values from the calculation:
total magnetic moment: 0.00 μB/f.u.
energy of formation from the pure elements: 0.1805 eV/atom
mass density: 7.004 g/cm3
crystal system: tetragonal

=====

Entry 10:
The following is a DFT calculation (GGA-PBE) of an optimized crystal structure of AlSnAu.

a = 4.493 Å, b = 4.493 Å, c = 7.471 Å
α = 107.43°, β = 107.43°, γ = 89.93°
Sites, in units of the cell vectors:
Al 0.250 0.750 0.000
Al 0.750 0.250 0.000
Sn 0.002 0.500 0.500
Sn 0.500 0.002 0.500
Au 0.156 0.156 0.811
Au 0.844 0.844 0.189

Values from the calculation:
total magnetic moment: 0.00 μB/f.u.
energy of formation from the pure elements: -0.2011 eV/atom
mass density: 8.331 g/cm3
crystal system: monoclinic